<one>
Computed, not measured: a relaxed structure of Be2SbIr2 at the PBE level of DFT.

Structure (POSCAR):
```
Be2SbIr2
1.0
6.939 0.000 0.000
0.000 6.939 0.000
0.000 0.000 2.889
Sb Ir Be
2 4 4
direct
0.000 0.000 0.000 Sb
0.500 0.500 0.000 Sb
0.351 0.851 0.000 Ir
0.851 0.649 0.000 Ir
0.649 0.149 0.000 Ir
0.149 0.351 0.000 Ir
0.136 0.636 0.500 Be
0.636 0.864 0.500 Be
0.864 0.364 0.500 Be
0.364 0.136 0.500 Be
```

Output
**SG**: P4/mbm, No. 127
**Magnetization**: 0.00 μB per cell
**DOS(E_F)**: 2.528 states/eV/f.u.

=====

<two>
Computed, not measured: a relaxed structure of Be2SbIr2 at the PBE level of DFT.

Structure (POSCAR):
```
Be2SbIr2
1.0
3.276 0.000 0.000
0.000 3.276 0.000
1.638 1.638 6.493
Sb Ir Be
1 2 2
direct
0.000 0.000 0.000 Sb
0.383 0.383 0.233 Ir
0.617 0.617 0.767 Ir
0.750 0.250 0.500 Be
0.250 0.750 0.500 Be
```

Output
**SG**: I4/mmm, No. 139
**Magnetization**: 0.00 μB per cell
**DOS(E_F)**: 2.329 states/eV/f.u.

=====

Q: Which of them is the least stable? A: <one>.

=====

<one>
Computed, not measured: a relaxed structure of BeSb3Ir at the PBE level of DFT.

Structure (POSCAR):
```
BeSb3Ir
1.0
-3.141 -1.636 -3.156
2.513 -4.001 -0.427
-2.515 -1.954 3.516
Sb Ir Be
3 1 1
direct
0.000 0.500 0.000 Sb
0.000 0.000 0.500 Sb
0.500 0.000 0.000 Sb
0.500 0.500 0.500 Ir
0.000 0.000 0.000 Be
```

Output
**SG**: Pm-3m, No. 221
**Magnetization**: 0.00 μB per cell
**DOS(E_F)**: 2.973 states/eV/f.u.

=====

<two>
Computed, not measured: a relaxed structure of BeSb3Ir at the PBE level of DFT.

Structure (POSCAR):
```
BeSb3Ir
1.0
-1.268 -4.533 2.215
-0.871 -2.053 -4.700
4.970 -1.516 -0.258
Sb Ir Be
3 1 1
direct
0.000 0.500 0.000 Sb
0.000 0.000 0.500 Sb
0.500 0.000 0.000 Sb
0.000 0.000 0.000 Ir
0.500 0.500 0.500 Be
```

Output
**SG**: Pm-3m, No. 221
**Magnetization**: 0.00 μB per cell
**DOS(E_F)**: 4.278 states/eV/f.u.

=====

Q: Which of them is the least stable? A: <two>.

=====

<one>
Computed, not measured: a relaxed structure of BeSbTe2Ir at the PBE level of DFT.

Structure (POSCAR):
```
BeSbTe2Ir
1.0
-0.118 -1.921 5.084
1.608 -4.869 -1.803
4.706 1.328 0.611
Sb Ir Te Be
1 1 2 1
direct
0.000 0.000 0.500 Sb
0.000 0.000 0.000 Ir
0.000 0.500 0.000 Te
0.500 0.000 0.000 Te
0.500 0.500 0.500 Be
```

Output
**SG**: P4/mmm, No. 123
**Magnetization**: 0.00 μB per cell
**DOS(E_F)**: 4.305 states/eV/f.u.

=====

<two>
Computed, not measured: a relaxed structure of BeSbTe2Ir at the PBE level of DFT.

Structure (POSCAR):
```
BeSbTe2Ir
1.0
4.831 0.000 0.000
0.000 4.641 0.000
0.000 0.000 4.831
Sb Ir Te Be
1 1 2 1
direct
0.000 0.500 0.000 Sb
0.500 0.500 0.500 Ir
0.000 0.000 0.500 Te
0.500 0.000 0.000 Te
0.000 0.000 0.000 Be
```

Output
**SG**: P4/mmm, No. 123
**Magnetization**: 0.00 μB per cell
**DOS(E_F)**: 1.710 states/eV/f.u.

=====

Q: Which of them is the least stable? A: <one>.

=====

<one>
Computed, not measured: a relaxed structure of Sc3BeIr at the PBE level of DFT.

Structure (POSCAR):
```
Sc3BeIr
1.0
4.625 0.000 0.000
0.000 4.625 0.000
0.000 0.000 4.625
Sc Be Ir
3 1 1
direct
0.000 0.500 0.000 Sc
0.000 0.000 0.500 Sc
0.500 0.000 0.000 Sc
0.000 0.000 0.000 Be
0.500 0.500 0.500 Ir
```

Output
**SG**: Pm-3m, No. 221
**Magnetization**: 0.00 μB per cell
**DOS(E_F)**: 7.701 states/eV/f.u.

=====

<two>
Computed, not measured: a relaxed structure of Sc3BeIr at the PBE level of DFT.

Structure (POSCAR):
```
Sc3BeIr
1.0
-0.189 -1.445 4.782
-2.865 -3.888 -1.288
4.092 -2.790 -0.681
Sc Be Ir
3 1 1
direct
0.000 0.500 0.000 Sc
0.000 0.000 0.500 Sc
0.500 0.000 0.000 Sc
0.500 0.500 0.500 Be
0.000 0.000 0.000 Ir
```

Output
**SG**: Pm-3m, No. 221
**Magnetization**: 0.00 μB per cell
**DOS(E_F)**: 5.653 states/eV/f.u.

=====

Q: Which of them is the least stable? A: <one>.

=====

<one>
Computed, not measured: a relaxed structure of Be2IrSe at the PBE level of DFT.

Structure (POSCAR):
```
Be2IrSe
1.0
-2.590 0.998 -1.214
0.690 -1.379 -2.607
-2.796 -4.965 1.886
Be Ir Se
2 1 1
direct
0.000 0.000 0.030 Be
0.500 0.500 0.244 Be
0.000 0.000 0.390 Ir
0.500 0.500 0.836 Se
```

Output
**SG**: P4mm, No. 99
**Magnetization**: 0.00 μB per cell
**DOS(E_F)**: 2.268 states/eV/f.u.

=====

<two>
Computed, not measured: a relaxed structure of Be2IrSe at the PBE level of DFT.

Structure (POSCAR):
```
Be2IrSe
1.0
-0.042 2.106 -1.715
-0.844 -2.415 -0.912
-8.015 1.863 2.486
Be Ir Se
2 1 1
direct
0.000 0.000 0.028 Be
0.500 0.500 0.240 Be
0.000 0.000 0.441 Ir
0.500 0.500 0.791 Se
```

Output
**SG**: Cmm2, No. 35
**Magnetization**: 0.00 μB per cell
**DOS(E_F)**: 2.835 states/eV/f.u.

=====

<three>
Computed, not measured: a relaxed structure of Be2IrSe at the PBE level of DFT.

Structure (POSCAR):
```
Be2IrSe
1.0
-3.416 2.933 1.868
-2.327 -1.339 4.068
4.587 0.338 -1.613
Be Ir Se
2 1 1
direct
0.000 0.000 0.000 Be
0.250 0.750 0.500 Be
0.500 0.500 0.000 Ir
0.750 0.250 0.500 Se
```

Output
**SG**: I-4m2, No. 119
**Magnetization**: 0.00 μB per cell
**DOS(E_F)**: 2.197 states/eV/f.u.

=====

<four>
Computed, not measured: a relaxed structure of Be2IrSe at the PBE level of DFT.

Structure (POSCAR):
```
Be2IrSe
1.0
-2.423 -0.994 3.073
2.344 -1.000 1.525
0.531 3.765 1.636
Be Ir Se
2 1 1
direct
0.000 0.123 0.960 Be
0.500 0.125 0.284 Be
0.000 0.626 0.433 Ir
0.500 0.626 0.824 Se
```

Output
**SG**: Pm, No. 6
**Magnetization**: 0.00 μB per cell
**DOS(E_F)**: 0.865 states/eV/f.u.

=====

Q: Which of them is the least stable? A: <two>.

=====

<one>
Computed, not measured: a relaxed structure of Be2IrSe at the PBE level of DFT.

Structure (POSCAR):
```
Be2IrSe
1.0
4.465 -0.016 0.000
1.365 4.252 0.000
-2.915 -2.118 2.637
Be Ir Se
2 1 1
direct
0.000 0.000 0.000 Be
0.500 0.500 0.000 Be
0.250 0.750 0.500 Ir
0.750 0.250 0.500 Se
```

Output
**SG**: I4/mmm, No. 139
**Magnetization**: 0.00 μB per cell
**DOS(E_F)**: 1.034 states/eV/f.u.

=====

<two>
Computed, not measured: a relaxed structure of Be2IrSe at the PBE level of DFT.

Structure (POSCAR):
```
Be2IrSe
1.0
4.045 -0.010 -0.024
2.964 2.753 -0.024
-0.604 -0.236 5.345
Be Ir Se
2 1 1
direct
0.075 0.075 0.889 Be
0.778 0.778 0.725 Be
0.478 0.478 0.592 Ir
0.168 0.168 0.294 Se
```

Output
**SG**: Cm, No. 8
**Magnetization**: 0.00 μB per cell
**DOS(E_F)**: 0.940 states/eV/f.u.

=====

Q: Which of them is the least stable? A: <one>.

=====

<one>
Computed, not measured: a relaxed structure of Be3IrSe at the PBE level of DFT.

Structure (POSCAR):
```
Be3IrSe
1.0
-0.696 -3.671 -2.086
3.968 0.154 -1.594
1.442 -2.194 3.379
Be Ir Se
3 1 1
direct
0.000 0.500 0.000 Be
0.000 0.000 0.500 Be
0.500 0.000 0.000 Be
0.000 0.000 0.000 Ir
0.500 0.500 0.500 Se
```

Output
**SG**: Pm-3m, No. 221
**Magnetization**: 0.00 μB per cell
**DOS(E_F)**: 2.343 states/eV/f.u.

=====

<two>
Computed, not measured: a relaxed structure of Be3IrSe at the PBE level of DFT.

Structure (POSCAR):
```
Be3IrSe
1.0
-0.540 -4.089 -0.270
3.596 -0.343 -2.009
1.966 -0.497 3.602
Be Ir Se
3 1 1
direct
0.000 0.500 0.000 Be
0.000 0.000 0.500 Be
0.500 0.000 0.000 Be
0.500 0.500 0.500 Ir
0.000 0.000 0.000 Se
```

Output
**SG**: Pm-3m, No. 221
**Magnetization**: 0.00 μB per cell
**DOS(E_F)**: 2.025 states/eV/f.u.

=====

Q: Which of them is the least stable? A: <two>.

=====

<one>
Computed, not measured: a relaxed structure of BeIrSe3 at the PBE level of DFT.

Structure (POSCAR):
```
BeIrSe3
1.0
-2.419 -2.710 -3.305
-1.215 -3.204 3.517
-4.097 2.551 0.908
Be Ir Se
1 1 3
direct
0.500 0.500 0.500 Be
0.000 0.000 0.000 Ir
0.000 0.500 0.000 Se
0.000 0.000 0.500 Se
0.500 0.000 0.000 Se
```

Output
**SG**: Pm-3m, No. 221
**Magnetization**: 0.00 μB per cell
**DOS(E_F)**: 8.000 states/eV/f.u.

=====

<two>
Computed, not measured: a relaxed structure of BeIrSe3 at the PBE level of DFT.

Structure (POSCAR):
```
BeIrSe3
1.0
4.422 0.000 0.000
0.000 4.422 0.000
0.000 0.000 4.422
Be Ir Se
1 1 3
direct
0.000 0.000 0.000 Be
0.500 0.500 0.500 Ir
0.000 0.500 0.000 Se
0.000 0.000 0.500 Se
0.500 0.000 0.000 Se
```

Output
**SG**: Pm-3m, No. 221
**Magnetization**: 0.00 μB per cell
**DOS(E_F)**: 4.940 states/eV/f.u.

=====

Q: Which of them is the least stable? A: <one>.

=====

<one>
Computed, not measured: a relaxed structure of Be3SiIr at the PBE level of DFT.

Structure (POSCAR):
```
Be3SiIr
1.0
-2.075 3.432 -0.372
-1.357 -0.412 3.770
3.175 2.067 1.369
Be Si Ir
3 1 1
direct
0.000 0.500 0.000 Be
0.000 0.000 0.500 Be
0.500 0.000 0.000 Be
0.000 0.000 0.000 Si
0.500 0.500 0.500 Ir
```

Output
**SG**: Pm-3m, No. 221
**Magnetization**: 0.00 μB per cell
**DOS(E_F)**: 2.902 states/eV/f.u.

=====

<two>
Computed, not measured: a relaxed structure of Be3SiIr at the PBE level of DFT.

Structure (POSCAR):
```
Be3SiIr
1.0
4.226 0.000 0.000
0.000 4.226 0.000
0.000 0.000 4.226
Be Si Ir
3 1 1
direct
0.000 0.500 0.000 Be
0.000 0.000 0.500 Be
0.500 0.000 0.000 Be
0.500 0.500 0.500 Si
0.000 0.000 0.000 Ir
```

Output
**SG**: Pm-3m, No. 221
**Magnetization**: 0.00 μB per cell
**DOS(E_F)**: 1.860 states/eV/f.u.

=====

Q: Which of them is the least stable? A: <one>.

=====

<one>
Computed, not measured: a relaxed structure of BeSiIr2 at the PBE level of DFT.

Structure (POSCAR):
```
BeSiIr2
1.0
-0.758 0.308 2.864
-0.056 -2.963 0.304
5.491 0.045 1.449
Be Si Ir
1 1 2
direct
0.500 0.500 0.755 Be
0.000 0.000 0.515 Si
0.000 0.000 0.927 Ir
0.500 0.500 0.303 Ir
```

Output
**SG**: P4mm, No. 99
**Magnetization**: 0.00 μB per cell
**DOS(E_F)**: 1.559 states/eV/f.u.

=====

<two>
Computed, not measured: a relaxed structure of BeSiIr2 at the PBE level of DFT.

Structure (POSCAR):
```
BeSiIr2
1.0
0.000 2.893 2.893
2.893 0.000 2.893
2.893 2.893 0.000
Be Si Ir
1 1 2
direct
0.000 0.000 0.000 Be
0.500 0.500 0.500 Si
0.250 0.250 0.250 Ir
0.750 0.750 0.750 Ir
```

Output
**SG**: Fm-3m, No. 225
**Magnetization**: 0.00 μB per cell
**DOS(E_F)**: 1.038 states/eV/f.u.

=====

Q: Which of them is the least stable? A: <one>.

=====

<one>
Computed, not measured: a relaxed structure of BeSiIr2 at the PBE level of DFT.

Structure (POSCAR):
```
BeSiIr2
1.0
-6.615 3.222 -3.190
-5.378 2.276 -5.496
-6.950 0.569 -3.961
Be Si Ir
1 1 2
direct
0.749 0.749 0.749 Be
0.499 0.499 0.499 Si
0.010 0.010 0.010 Ir
0.243 0.243 0.243 Ir
```

Output
**SG**: R3m, No. 160
**Magnetization**: 0.00 μB per cell
**DOS(E_F)**: 4.951 states/eV/f.u.

=====

<two>
Computed, not measured: a relaxed structure of BeSiIr2 at the PBE level of DFT.

Structure (POSCAR):
```
BeSiIr2
1.0
4.092 0.000 0.000
0.000 2.838 -0.007
0.000 0.010 4.434
Be Si Ir
1 1 2
direct
0.500 0.875 0.706 Be
0.000 0.375 0.548 Si
0.000 0.875 0.982 Ir
0.500 0.375 0.264 Ir
```

Output
**SG**: Pmm2, No. 25
**Magnetization**: 0.00 μB per cell
**DOS(E_F)**: 1.067 states/eV/f.u.

=====

<three>
Computed, not measured: a relaxed structure of BeSiIr2 at the PBE level of DFT.

Structure (POSCAR):
```
BeSiIr2
1.0
4.602 0.004 -0.009
3.733 2.691 -0.009
1.069 0.346 4.041
Be Si Ir
1 1 2
direct
0.749 0.749 0.813 Be
0.499 0.499 0.442 Si
0.009 0.009 0.921 Ir
0.243 0.243 0.324 Ir
```

Output
**SG**: Cm, No. 8
**Magnetization**: 0.00 μB per cell
**DOS(E_F)**: 2.688 states/eV/f.u.

=====

Q: Which of them is the least stable? A: <one>.

=====

<one>
Computed, not measured: a relaxed structure of Be2SiIr2 at the PBE level of DFT.

Structure (POSCAR):
```
Be2SiIr2
1.0
6.464 0.000 0.000
0.000 6.464 0.000
0.000 0.000 2.917
Be Si Ir
4 2 4
direct
0.130 0.630 0.500 Be
0.630 0.870 0.500 Be
0.870 0.370 0.500 Be
0.370 0.130 0.500 Be
0.000 0.000 0.000 Si
0.500 0.500 0.000 Si
0.336 0.836 0.000 Ir
0.836 0.664 0.000 Ir
0.664 0.164 0.000 Ir
0.164 0.336 0.000 Ir
```

Output
**SG**: P4/mbm, No. 127
**Magnetization**: 0.00 μB per cell
**DOS(E_F)**: 2.442 states/eV/f.u.

=====

<two>
Computed, not measured: a relaxed structure of Be2SiIr2 at the PBE level of DFT.

Structure (POSCAR):
```
Be2SiIr2
1.0
4.043 0.539 1.298
1.951 3.582 1.298
-0.770 -0.529 4.134
Be Si Ir
2 1 2
direct
0.906 0.406 0.707 Be
0.094 0.594 0.293 Be
0.500 0.000 0.000 Si
0.786 0.286 0.244 Ir
0.214 0.714 0.756 Ir
```

Output
**SG**: C2/m, No. 12
**Magnetization**: 0.00 μB per cell
**DOS(E_F)**: 1.066 states/eV/f.u.

=====

Q: Which of them is the least stable? A: <one>.